[1]
MgBeGeO4 | PBE | optimized geometry

Computed properties:
Theoretical density (Mg/m³): 3.59
Raw formation energy (meV/atom): -2281
Density of states at the Fermi level (states/eV/atom): 0.00

Unit cell a=4.611 b=4.611 c=4.931 alpha=117.88 beta=117.88 gamma=90.00
Atoms (fractional coordinates):
Mg  0.000  0.000  0.000
Be  0.250  0.750  0.500
Ge  0.500  0.500  0.000
O  0.189  0.102  0.748
O  0.354  0.811  0.252
O  0.558  0.646  0.748
O  0.898  0.442  0.252



[2]
LaNdGaAg | PBE | optimized geometry

Computed properties:
Theoretical density (Mg/m³): 7.11
Formation energy (eV per formula unit): -1.62
Density of states at the Fermi level (states/eV/atom): 1.15

Unit cell a=5.338 b=5.338 c=5.338 alpha=60.00 beta=60.00 gamma=60.00
Atoms (fractional coordinates):
Nd  0.000  0.000  0.000
Ga  0.750  0.750  0.750
Ag  0.250  0.250  0.250
La  0.500  0.500  0.500



[3]
Pm2Ga7Pd12 | PBE | optimized geometry

Computed properties:
Theoretical density (Mg/m³): 9.45
Formation energy (eV per formula unit): -15.07
Density of states at the Fermi level (states/eV/atom): 0.46

Unit cell a=3.955 b=10.268 c=10.268 alpha=120.00 beta=90.00 gamma=90.00
Atoms (fractional coordinates):
Pm  0.243  0.333  0.667
Pm  0.757  0.667  0.333
Ga  0.500  0.000  0.000
Ga  0.254  0.886  0.288
Ga  0.254  0.402  0.114
Ga  0.254  0.712  0.598
Ga  0.746  0.114  0.712
Ga  0.746  0.598  0.886
Ga  0.746  0.288  0.402
Pd  0.249  0.619  0.062
Pd  0.249  0.443  0.381
Pd  0.249  0.938  0.557
Pd  0.751  0.381  0.938
Pd  0.751  0.557  0.619
Pd  0.751  0.062  0.443
Pd  0.244  0.118  0.260
Pd  0.244  0.142  0.882
Pd  0.244  0.740  0.858
Pd  0.756  0.882  0.740
Pd  0.756  0.858  0.118
Pd  0.756  0.260  0.142